[1]
DFT (PBE-GGA) results for BeTlNi after structural relaxation.

Lattice parameters (Å, degrees): 5.121 5.122 3.089 72.44 72.46 35.10
Atoms (fractional coordinates):
Ni  0.381  0.381  0.619
Tl  0.670  0.670  0.330
Be  0.950  0.950  0.050

## Properties
Energy above the most stable polymorph in this dataset: 0.0 meV per atom
Raw total energy: -3.720 eV/atom
Energy relative to the elements: 0.238 eV/atom
Size of the total moment: 0.0 μB per cell
N(E_F): 1.1 states/eV/f.u.

---

[2]
DFT (PBE-GGA) results for Mg3Si4 after structural relaxation.

Lattice parameters (Å, degrees): 5.175 7.457 7.750 110.57 91.34 90.63
Atoms (fractional coordinates):
Mg  0.268  0.287  0.558
Mg  0.760  0.169  0.271
Mg  0.510  0.408  0.974
Mg  0.242  0.869  0.210
Mg  0.746  0.595  0.611
Mg  0.008  0.037  0.851
Si  0.076  0.534  0.318
Si  0.764  0.717  0.228
Si  0.779  0.238  0.658
Si  0.272  0.663  0.840
Si  0.265  0.233  0.178
Si  0.267  0.763  0.582
Si  0.607  0.927  0.504
Si  0.691  0.814  0.971

## Properties
Energy above the most stable polymorph in this dataset: 35.3 meV per atom
Raw total energy: -3.695 eV/atom
Uncorrected formation energy: 87 meV/atom
Size of the total moment: 0.0 μB per cell
N(E_F): 2.0 states/eV/f.u.

---

[3]
DFT (PBE-GGA) results for Na2U2VSe6 after structural relaxation.

Lattice parameters (Å, degrees): 6.861 6.861 7.518 98.94 98.94 119.53
Atoms (fractional coordinates):
Na  0.829  0.171  0.000
Na  0.171  0.829  0.000
U  0.334  0.666  0.500
U  0.666  0.334  0.500
V  0.000  0.000  0.500
Se  0.764  0.764  0.721
Se  0.076  0.390  0.721
Se  0.236  0.236  0.279
Se  0.390  0.076  0.721
Se  0.924  0.610  0.279
Se  0.610  0.924  0.279

## Properties
Raw total energy: -6.106 eV/atom
Uncorrected formation energy: -1084 meV/atom
Size of the total moment: 7.0 μB per cell
N(E_F): 14.4 states/eV/f.u.

---

[4]
DFT (PBE-GGA) results for Ba2NaIn4Ge3 after structural relaxation.

Lattice parameters (Å, degrees): 4.745 4.745 12.889 90.00 90.00 90.00
Atoms (fractional coordinates):
Ba  0.500  0.000  0.236
Ba  0.000  0.500  0.764
Na  0.500  0.500  0.500
In  0.500  0.500  0.000
In  0.000  0.000  0.000
In  0.500  0.000  0.636
In  0.000  0.500  0.364
Ge  0.000  0.000  0.500
Ge  0.500  0.000  0.864
Ge  0.000  0.500  0.136

## Properties
Raw total energy: -3.246 eV/atom
Energy relative to the elements: -0.249 eV/atom
Size of the total moment: 0.0 μB per cell
N(E_F): 6.5 states/eV/f.u.

---

[5]
DFT (PBE-GGA) results for Ce5PrPb6 after structural relaxation.

Lattice parameters (Å, degrees): 5.983 6.670 10.036 109.41 107.30 89.98
Atoms (fractional coordinates):
Pr  0.000  0.000  0.000
Pb  0.832  0.581  0.665
Pb  0.832  0.084  0.665
Pb  0.500  0.748  0.000
Pb  0.500  0.252  0.000
Pb  0.168  0.916  0.335
Pb  0.168  0.419  0.335
Ce  0.665  0.165  0.330
Ce  0.333  0.333  0.666
Ce  0.000  0.500  0.000
Ce  0.667  0.667  0.334
Ce  0.335  0.835  0.670

## Properties
Energy above the most stable polymorph in this dataset: 0.0 meV per atom
Raw total energy: -5.142 eV/atom
Energy relative to the elements: -0.417 eV/atom
Size of the total moment: 5.8 μB per cell
N(E_F): 30.6 states/eV/f.u.

---

[6]
DFT (PBE-GGA) results for Cs2ZnBSe4 after structural relaxation.

Lattice parameters (Å, degrees): 6.016 7.709 13.129 84.87 76.75 67.03
Atoms (fractional coordinates):
Cs  0.176  0.000  0.647
Cs  0.824  0.000  0.353
Cs  0.574  0.500  0.853
Cs  0.926  0.500  0.147
Zn  0.750  0.500  0.500
Zn  0.000  0.000  0.000
B  0.250  0.500  0.500
B  0.500  0.000  0.000
Se  0.333  0.832  0.095
Se  0.261  0.168  0.905
Se  0.834  0.832  0.905
Se  0.572  0.168  0.095
Se  0.417  0.668  0.405
Se  0.489  0.332  0.595
Se  0.916  0.668  0.595
Se  0.178  0.332  0.405

## Properties
Raw total energy: -3.611 eV/atom
Uncorrected formation energy: -662 meV/atom
Size of the total moment: 1.9 μB per cell
N(E_F): 8.6 states/eV/f.u.

---

[7]
DFT (PBE-GGA) results for SbCS2N after structural relaxation.

Lattice parameters (Å, degrees): 5.695 5.695 2.552 90.00 90.00 90.00
Atoms (fractional coordinates):
Sb  0.500  0.500  0.500
S  0.000  0.500  0.000
S  0.500  0.000  0.000
C  0.000  0.000  0.000
N  0.000  0.000  0.500

## Properties
Energy above the most stable polymorph in this dataset: 0.0 meV per atom
Raw total energy: -5.056 eV/atom
Uncorrected formation energy: 930 meV/atom
Size of the total moment: 0.0 μB per cell
N(E_F): 2.7 states/eV/f.u.

---

[8]
DFT (PBE-GGA) results for YHf2Pd2 after structural relaxation.

Lattice parameters (Å, degrees): 8.024 8.024 3.165 90.00 90.00 90.00
Atoms (fractional coordinates):
Y  0.000  0.000  0.000
Y  0.500  0.500  0.000
Hf  0.351  0.851  0.000
Hf  0.851  0.649  0.000
Hf  0.649  0.149  0.000
Hf  0.149  0.351  0.000
Pd  0.146  0.646  0.500
Pd  0.646  0.854  0.500
Pd  0.854  0.354  0.500
Pd  0.354  0.146  0.500

## Properties
Energy above the most stable polymorph in this dataset: 105.1 meV per atom
Raw total energy: -7.749 eV/atom
Energy relative to the elements: -0.398 eV/atom
Size of the total moment: 0.0 μB per cell
N(E_F): 4.8 states/eV/f.u.